one) A geometry-optimized Ca2Cd2Hg structure. Source: Alexandria, functional GGA-PBE.

The structure in POSCAR format:
```
Ca2Cd2Hg
1.0
-2.023 2.023 9.102
2.023 -2.023 9.102
2.023 2.023 -9.102
Ca Cd Hg
2 2 1
direct
0.097 0.097 0.000
0.903 0.903 0.000
0.250 0.750 0.500
0.750 0.250 0.500
0.500 0.500 0.000
```

**DOS(E_F)**: 0.551 states/eV per atom
**SG**: I4/mmm (139)
**Total magnetization**: 0.000 μB/cell

=====

two) A geometry-optimized Ca2Cd2Hg structure. Source: Alexandria, functional GGA-PBE.

The structure in POSCAR format:
```
Ca2Cd2Hg
1.0
5.815 -2.254 0.000
5.815 2.254 0.000
-4.582 0.000 10.826
Ca Cd Hg
4 4 2
direct
0.001 0.001 0.328
0.189 0.189 0.112
0.811 0.811 0.888
0.999 0.999 0.672
0.360 0.360 0.447
0.464 0.464 0.106
0.536 0.536 0.894
0.640 0.640 0.553
0.293 0.293 0.677
0.707 0.707 0.323
```

**DOS(E_F)**: 0.658 states/eV per atom
**SG**: C2/m (12)
**Total magnetization**: 0.000 μB/cell

=====

three) A geometry-optimized Ca2Cd2Hg structure. Source: Alexandria, functional GGA-PBE.

The structure in POSCAR format:
```
Ca2Cd2Hg
1.0
-3.056 3.056 4.217
3.056 -3.056 4.217
3.056 3.056 -4.217
Ca Cd Hg
2 2 1
direct
0.250 0.750 0.500
0.750 0.250 0.500
0.158 0.158 0.000
0.842 0.842 0.000
0.500 0.500 0.000
```

**DOS(E_F)**: 0.447 states/eV per atom
**SG**: I4/mmm (139)
**Total magnetization**: 0.000 μB/cell

=====

four) A geometry-optimized Ca2Cd2Hg structure. Source: Alexandria, functional GGA-PBE.

The structure in POSCAR format:
```
Ca2Cd2Hg
1.0
8.054 0.000 0.000
0.000 8.054 0.000
0.000 0.000 4.344
Ca Cd Hg
4 4 2
direct
0.173 0.327 0.000
0.327 0.827 0.000
0.673 0.173 0.000
0.827 0.673 0.000
0.128 0.628 0.500
0.372 0.128 0.500
0.628 0.872 0.500
0.872 0.372 0.500
0.000 0.000 0.500
0.500 0.500 0.500
```

**DOS(E_F)**: 0.688 states/eV per atom
**SG**: P4/mbm (127)
**Total magnetization**: 0.000 μB/cell

=====

How far above the most stable structure does each one sit? In kJ/mol of atoms: one) 11.3; two) 0.0; three) 23.3; four) 4.6.

=====

one) A geometry-optimized Ca3CdHg5 structure. Source: Alexandria, functional GGA-PBE.

The structure in POSCAR format:
```
Ca3CdHg5
1.0
-4.422 4.422 6.568
4.422 -4.422 6.568
4.422 4.422 -6.568
Ca Cd Hg
6 2 10
direct
0.129 0.629 0.759
0.250 0.250 0.000
0.371 0.129 0.500
0.629 0.871 0.500
0.750 0.750 0.000
0.871 0.371 0.241
0.250 0.750 0.500
0.750 0.250 0.500
0.000 0.000 0.000
0.048 0.166 0.500
0.166 0.666 0.118
0.334 0.452 0.500
0.452 0.952 0.118
0.500 0.500 0.000
0.548 0.048 0.882
0.666 0.548 0.500
0.834 0.334 0.882
0.952 0.834 0.500
```

**DOS(E_F)**: 0.478 states/eV per atom
**SG**: I4/mcm (140)
**Total magnetization**: 0.000 μB/cell

=====

two) A geometry-optimized Ca3CdHg5 structure. Source: Alexandria, functional GGA-PBE.

The structure in POSCAR format:
```
Ca3CdHg5
1.0
9.235 0.000 0.000
-4.618 7.998 0.000
0.000 0.000 6.332
Ca Cd Hg
6 2 10
direct
0.000 0.363 0.250
0.000 0.637 0.750
0.363 0.000 0.250
0.363 0.363 0.750
0.637 0.000 0.750
0.637 0.637 0.250
0.000 0.000 0.000
0.000 0.000 0.500
0.000 0.298 0.750
0.000 0.702 0.250
0.298 0.000 0.750
0.298 0.298 0.250
0.333 0.667 0.000
0.333 0.667 0.500
0.667 0.333 0.000
0.667 0.333 0.500
0.702 0.000 0.250
0.702 0.702 0.750
```

**DOS(E_F)**: 0.461 states/eV per atom
**SG**: P6_3/mcm (193)
**Total magnetization**: 0.000 μB/cell

=====

How far above the most stable structure does each one sit? In kJ/mol of atoms: one) 14.1; two) 0.0.

=====

one) A geometry-optimized CaCd4Hg8 structure. Source: Alexandria, functional GGA-PBE.

The structure in POSCAR format:
```
CaCd4Hg8
1.0
3.365 1.943 9.162
-3.365 1.943 9.162
0.000 -3.885 9.162
Ca Cd Hg
1 4 8
direct
0.000 0.000 0.000
0.000 0.500 0.500
0.500 0.000 0.500
0.500 0.500 0.000
0.500 0.500 0.500
0.202 0.202 0.202
0.222 0.750 0.750
0.250 0.250 0.778
0.250 0.778 0.250
0.750 0.222 0.750
0.750 0.750 0.222
0.778 0.250 0.250
0.798 0.798 0.798
```

**DOS(E_F)**: 0.399 states/eV per atom
**SG**: R-3m (166)
**Total magnetization**: 0.000 μB/cell

=====

two) A geometry-optimized CaCd4Hg8 structure. Source: Alexandria, functional GGA-PBE.

The structure in POSCAR format:
```
CaCd4Hg8
1.0
5.718 0.000 0.000
0.881 7.852 0.000
1.636 3.236 7.290
Ca Cd Hg
1 4 8
direct
0.000 0.000 0.000
0.177 0.676 0.403
0.356 0.234 0.471
0.644 0.766 0.529
0.823 0.324 0.597
0.102 0.841 0.689
0.240 0.560 0.076
0.301 0.385 0.778
0.434 0.068 0.171
0.566 0.932 0.829
0.699 0.615 0.222
0.760 0.440 0.924
0.898 0.159 0.311
```

**DOS(E_F)**: 0.279 states/eV per atom
**SG**: P-1 (2)
**Total magnetization**: 0.000 μB/cell

=====

How far above the most stable structure does each one sit? In kJ/mol of atoms: one) 4.7; two) 0.0.

=====

one) A geometry-optimized CaCd3Hg7 structure. Source: Alexandria, functional GGA-PBE.

The structure in POSCAR format:
```
CaCd3Hg7
1.0
6.609 0.000 0.000
-3.305 5.724 0.000
0.000 0.000 7.687
Ca Cd Hg
1 3 7
direct
0.000 0.000 0.000
0.166 0.331 0.360
0.166 0.834 0.360
0.669 0.834 0.360
0.333 0.667 0.702
0.353 0.176 0.671
0.507 0.015 0.051
0.507 0.493 0.051
0.824 0.176 0.671
0.824 0.647 0.671
0.985 0.493 0.051
```

**DOS(E_F)**: 0.411 states/eV per atom
**SG**: P3m1 (156)
**Total magnetization**: 0.000 μB/cell

=====

two) A geometry-optimized CaCd3Hg7 structure. Source: Alexandria, functional GGA-PBE.

The structure in POSCAR format:
```
CaCd3Hg7
1.0
4.737 -5.465 0.000
4.737 5.465 0.000
-2.412 0.000 5.812
Ca Cd Hg
1 3 7
direct
0.000 0.000 0.000
0.265 0.735 0.500
0.500 0.500 0.000
0.735 0.265 0.500
0.000 0.000 0.500
0.090 0.562 0.829
0.317 0.317 0.439
0.438 0.910 0.171
0.562 0.090 0.829
0.683 0.683 0.561
0.910 0.438 0.171
```

**DOS(E_F)**: 0.393 states/eV per atom
**SG**: C2/m (12)
**Total magnetization**: 0.000 μB/cell

=====

How far above the most stable structure does each one sit? In kJ/mol of atoms: one) 0.0; two) 2.6.

=====

one) A geometry-optimized Ca3CdHg structure. Source: Alexandria, functional GGA-PBE.

The structure in POSCAR format:
```
Ca3CdHg
1.0
5.849 0.000 0.000
0.000 5.849 0.000
0.000 0.000 5.849
Ca Cd Hg
3 1 1
direct
0.000 0.000 0.500
0.000 0.500 0.000
0.500 0.000 0.000
0.500 0.500 0.500
0.000 0.000 0.000
```

**DOS(E_F)**: 0.787 states/eV per atom
**SG**: Pm-3m (221)
**Total magnetization**: 0.000 μB/cell

=====

two) A geometry-optimized Ca3CdHg structure. Source: Alexandria, functional GGA-PBE.

The structure in POSCAR format:
```
Ca3CdHg
1.0
2.707 -10.433 0.000
2.707 10.433 0.000
0.000 0.000 5.408
Ca Cd Hg
6 2 2
direct
0.069 0.931 0.750
0.250 0.750 0.750
0.430 0.570 0.750
0.570 0.430 0.250
0.750 0.250 0.250
0.931 0.069 0.250
0.156 0.844 0.250
0.844 0.156 0.750
0.344 0.656 0.250
0.656 0.344 0.750
```

**DOS(E_F)**: 0.829 states/eV per atom
**SG**: Cmcm (63)
**Total magnetization**: 0.000 μB/cell

=====

How far above the most stable structure does each one sit? In kJ/mol of atoms: one) 29.5; two) 0.0.

=====

one) A geometry-optimized CaCd7Hg12 structure. Source: Alexandria, functional GGA-PBE.

The structure in POSCAR format:
```
CaCd7Hg12
1.0
6.645 3.836 3.398
-6.645 3.836 3.398
0.000 -7.673 3.398
Ca Cd Hg
1 7 12
direct
0.000 0.000 0.000
0.060 0.138 0.673
0.138 0.673 0.060
0.327 0.940 0.862
0.500 0.500 0.500
0.673 0.060 0.138
0.862 0.327 0.940
0.940 0.862 0.327
0.072 0.306 0.354
0.236 0.724 0.460
0.276 0.540 0.764
0.306 0.354 0.072
0.354 0.072 0.306
0.460 0.236 0.724
0.540 0.764 0.276
0.646 0.928 0.694
0.694 0.646 0.928
0.724 0.460 0.236
0.764 0.276 0.540
0.928 0.694 0.646
```

**DOS(E_F)**: 0.286 states/eV per atom
**SG**: R-3 (148)
**Total magnetization**: 0.000 μB/cell

=====

two) A geometry-optimized CaCd7Hg12 structure. Source: Alexandria, functional GGA-PBE.

The structure in POSCAR format:
```
CaCd7Hg12
1.0
-5.438 5.438 5.438
5.438 -5.438 5.438
5.438 5.438 -5.438
Ca Cd Hg
1 7 12
direct
0.000 0.000 0.000
0.000 0.000 0.500
0.000 0.500 0.000
0.000 0.500 0.500
0.500 0.000 0.000
0.500 0.000 0.500
0.500 0.500 0.000
0.500 0.500 0.500
0.122 0.274 0.847
0.153 0.427 0.274
0.153 0.878 0.726
0.274 0.153 0.427
0.274 0.847 0.122
0.427 0.274 0.153
0.573 0.726 0.847
0.726 0.153 0.878
0.726 0.847 0.573
0.847 0.122 0.274
0.847 0.573 0.726
0.878 0.726 0.153
```

**DOS(E_F)**: 0.302 states/eV per atom
**SG**: Im-3 (204)
**Total magnetization**: 0.000 μB/cell

=====

How far above the most stable structure does each one sit? In kJ/mol of atoms: one) 0.0; two) 7.6.